Record 1
8
Lattice="5.0164 0.0000 0.0000 0.0000 7.2582 0.0000 0.0000 0.0000 2.5341" Properties=species:S:1:pos:R:3 comment="MnNi2Ru | the Alexandria database | SCAN | single point on PBEsol structure" density_g_cm3=9.84 volume_a3_per_atom=11.5 formation_energy_mev_per_atom=-55 dos_at_fermi_per_ev_cell=7.3 space_group="Cmmm, No. 65" pbc="T T T"
Mn 0.0000 0.0000 0.0000
Mn 2.5082 3.6291 0.0000
Ni 1.2541 1.8145 1.2671
Ni 1.2541 5.4436 1.2671
Ni 3.7623 1.8145 1.2671
Ni 3.7623 5.4436 1.2671
Ru 0.0000 3.6291 0.0000
Ru 2.5082 0.0000 0.0000

***

Record 2
8
Lattice="4.3066 0.0000 0.0000 0.0000 4.5206 0.0000 0.0000 0.0000 9.9065" Properties=species:S:1:pos:R:3 comment="Ca2IrOs | the Alexandria database | SCAN | single point on PBEsol structure" polymorph_energy_mev_per_atom=0 density_g_cm3=7.97 volume_a3_per_atom=24.1 formation_energy_mev_per_atom=-130 dos_at_fermi_per_ev_cell=5.2 space_group="Amm2, No. 38" pbc="T T T"
Ca 0.0000 0.0000 0.0000
Ca 0.0000 2.2603 4.9533
Ca 2.1533 0.0000 2.8176
Ca 2.1533 2.2603 7.7709
Ir 0.0000 0.0000 6.8463
Ir 0.0000 2.2603 1.8930
Os 2.1533 0.0000 5.8915
Os 2.1533 2.2603 0.9382

***

Record 3
15
Lattice="5.9701 0.0000 0.0000 -0.2378 7.1632 0.0000 -2.9756 -3.0829 7.5727" Properties=species:S:1:pos:R:3 comment="Nb4IrSe10 | the Alexandria database | SCAN | single point on PBEsol structure" density_g_cm3=6.94 volume_a3_per_atom=21.6 dos_at_fermi_per_ev_cell=5.1 raw_formation_energy_ev_per_atom=-0.771 space_group="P-1, No. 2" pbc="T T T"
Nb -0.4445 0.8085 1.5626
Nb 0.0572 2.4411 4.5439
Nb 2.6995 1.6392 3.0288
Nb 3.2012 3.2718 6.0100
Ir 2.9850 0.0000 0.0000
Se -1.1810 0.1826 3.8588
Se -1.9585 -1.6444 6.9115
Se 0.8077 3.1088 2.1845
Se -1.0117 1.7688 6.9076
Se 1.8259 -0.5685 2.1714
Se 0.9308 4.6488 5.4013
Se 3.7684 2.3116 0.6651
Se 1.9490 0.9715 5.3881
Se 4.7152 5.7247 0.6612
Se 3.9377 3.8978 3.7139

***

Record 4
16
Lattice="6.1193 0.0000 0.0000 0.0000 6.1193 0.0000 0.0000 0.0000 12.1603" Properties=species:S:1:pos:R:3 comment="ZnTe2Au | the Alexandria database | SCAN | single point on PBEsol structure" density_g_cm3=7.55 volume_a3_per_atom=28.5 dos_at_fermi_per_ev_cell=9.4 raw_formation_energy_ev_per_atom=-0.245 space_group="I-42d, No. 122" pbc="T T T"
Zn 0.0000 0.0000 0.0000
Zn 0.0000 3.0596 3.0401
Zn 3.0596 0.0000 9.1202
Zn 3.0596 3.0596 6.0801
Te 1.4847 1.5298 1.5200
Te 1.5298 4.5444 4.5601
Te 1.5298 4.6345 10.6402
Te 1.5749 1.5298 7.6002
Te 4.5444 4.5895 7.6002
Te 4.5895 1.4847 10.6402
Te 4.5895 1.5749 4.5601
Te 4.6345 4.5895 1.5200
Au 0.0000 0.0000 6.0801
Au 0.0000 3.0596 9.1202
Au 3.0596 0.0000 3.0401
Au 3.0596 3.0596 0.0000